ErLuSc2: relaxed, PBE.

**Space-group type**: R-3m
**Energy relative to the elements**: 0.057 eV/atom

a = 11.0905 Å, b = 11.0905 Å, c = 11.0905 Å
α = 17.56°, β = 17.56°, γ = 17.56°
Closest atoms and distances in Å follow each position.
Atoms (fractional coordinates):
Er1 0.0000 0.0000 0.0000  6 Sc 3.37, 6 Er 3.39
Lu1 0.5000 0.5000 0.5000  6 Sc 3.35, 6 Lu 3.39
Sc1 0.2496 0.2496 0.2496  3 Lu 3.35, 3 Er 3.37, 6 Sc 3.39
Sc2 0.7504 0.7504 0.7504  3 Lu 3.35, 3 Er 3.37, 6 Sc 3.39